GeTePCl2 | PBE-GGA | optimized geometry

Output
The crystal system is tetragonal. The space-group type is P4/mmm, No. 123. The relative energy among the computed polymorphs is 0.345 eV/atom.

Cell: 5.1420 5.1420 5.4361 Å, 90.00 90.00 90.00°
Each line ends with the local moment (μB).
Fractional coordinates of all 5 atoms:
P 0.0000 0.0000 0.5000  -0.04
Te 0.0000 0.0000 0.0000  0.00
Cl 0.5000 0.0000 0.0000  0.00
Ge 0.5000 0.5000 0.5000  0.11
Cl 0.0000 0.5000 0.0000  0.00

***

YGaPdBr2 | PBE-GGA | optimized geometry

Output
The crystal system is tetragonal. The space-group type is P4/mmm, No. 123. The total energy is -3.423 eV per atom.

Cell: 5.0412 5.7988 5.0412 Å, 90.00 90.00 90.00°
Fractional coordinates of all 5 atoms:
Y 0.0000 0.5000 0.0000
Ga 0.0000 0.0000 0.0000
Br 0.0000 0.0000 0.5000
Br 0.5000 0.0000 0.0000
Pd 0.5000 0.5000 0.5000